(1)
A plane-wave DFT calculation with PBEsol was carried out for BaY3N after structural relaxation.

```
data_BaY3N
_symmetry_space_group_name_H-M 'P 1'
_symmetry_Int_Tables_number 1
_cell_length_a 4.997
_cell_length_b 4.997
_cell_length_c 4.997
_cell_angle_alpha 90.00
_cell_angle_beta 90.00
_cell_angle_gamma 90.00
loop_
_symmetry_equiv_pos_as_xyz
'x,y,z'
loop_
_atom_site_label
_atom_site_type_symbol
_atom_site_fract_x
_atom_site_fract_y
_atom_site_fract_z
Ba1 Ba 0.000 0.000 0.000
Y1 Y 0.000 0.500 0.500
Y2 Y 0.500 0.000 0.500
Y3 Y 0.500 0.500 0.000
N1 N 0.500 0.500 0.500
```

- Magnetization: 0.00 μB per formula unit
- SG: Pm-3m
- ΔE_f (raw): -379 meV per atom


(2)
A plane-wave DFT calculation with PBEsol was carried out for Ba5Zr2N6 after structural relaxation.

```
data_Ba5Zr2N6
_symmetry_space_group_name_H-M 'P 1'
_symmetry_Int_Tables_number 1
_cell_length_a 6.705
_cell_length_b 6.705
_cell_length_c 14.738
_cell_angle_alpha 95.62
_cell_angle_beta 95.62
_cell_angle_gamma 66.65
loop_
_symmetry_equiv_pos_as_xyz
'x,y,z'
loop_
_atom_site_label
_atom_site_type_symbol
_atom_site_fract_x
_atom_site_fract_y
_atom_site_fract_z
Ba1 Ba 0.105 0.895 0.750
Ba2 Ba 0.192 0.736 0.018
Ba3 Ba 0.264 0.808 0.482
Ba4 Ba 0.284 0.404 0.293
Ba5 Ba 0.404 0.284 0.793
Ba6 Ba 0.596 0.716 0.207
Ba7 Ba 0.716 0.596 0.707
Ba8 Ba 0.736 0.192 0.518
Ba9 Ba 0.808 0.264 0.982
Ba10 Ba 0.895 0.105 0.250
Zr1 Zr 0.157 0.396 0.576
Zr2 Zr 0.396 0.157 0.076
Zr3 Zr 0.604 0.843 0.924
Zr4 Zr 0.843 0.604 0.424
N1 N 0.055 0.232 0.660
N2 N 0.097 0.300 0.440
N3 N 0.232 0.055 0.160
N4 N 0.300 0.097 0.940
N5 N 0.426 0.463 0.620
N6 N 0.463 0.426 0.120
N7 N 0.537 0.574 0.880
N8 N 0.574 0.537 0.380
N9 N 0.700 0.903 0.060
N10 N 0.768 0.945 0.840
N11 N 0.903 0.700 0.560
N12 N 0.945 0.768 0.340
```

- Magnetization: 0.00 μB per formula unit
- SG: C2/c
- ΔE_f (raw): -970 meV per atom